No. 1
The following is a PBE calculation of crystalline Ho6CS3N2 at its relaxed geometry, from Alexandria via LeMat-Bulk.

Computed properties:
Spin magnetization: 0.00 μB per formula unit
Space group: C2/m, No. 12
Raw formation energy: -1.706 eV per atom
Crystal system: monoclinic

```
data_Ho6CS3N2
_chemical_formula_sum 'Ho6 C1 S3 N2'
_symmetry_space_group_name_H-M 'P 1'
_symmetry_Int_Tables_number 1
_cell_length_a 6.292
_cell_length_b 6.292
_cell_length_c 6.582
_cell_angle_alpha 99.14
_cell_angle_beta 99.14
_cell_angle_gamma 120.01
loop_
_symmetry_equiv_pos_as_xyz
'x,y,z'
loop_
_atom_site_label
_atom_site_type_symbol
_atom_site_fract_x
_atom_site_fract_y
_atom_site_fract_z
Ho1 Ho 0.930 0.596 0.789
Ho2 Ho 0.737 0.737 0.211
Ho3 Ho 0.070 0.404 0.211
Ho4 Ho 0.596 0.930 0.789
Ho5 Ho 0.263 0.263 0.789
Ho6 Ho 0.404 0.070 0.211
C1 C 0.000 0.000 0.000
S1 S 0.166 0.834 0.500
S2 S 0.834 0.166 0.500
S3 S 0.500 0.500 0.500
N1 N 0.333 0.667 0.000
N2 N 0.667 0.333 0.000
```

=====

No. 2
The following is a PBE calculation of crystalline CaBe2Os2 at its relaxed geometry, from Alexandria via LeMat-Bulk.

Computed properties:
Spin magnetization: 0.00 μB per formula unit
Space group: P4/mbm, No. 127
ΔE to the lowest computed polymorph: 0 meV per atom
Crystal system: tetragonal

```
data_CaBe2Os2
_chemical_formula_sum 'Ca2 Be4 Os4'
_symmetry_space_group_name_H-M 'P 1'
_symmetry_Int_Tables_number 1
_cell_length_a 7.321
_cell_length_b 7.321
_cell_length_c 2.592
_cell_angle_alpha 90.00
_cell_angle_beta 90.00
_cell_angle_gamma 90.00
loop_
_symmetry_equiv_pos_as_xyz
'x,y,z'
loop_
_atom_site_label
_atom_site_type_symbol
_atom_site_fract_x
_atom_site_fract_y
_atom_site_fract_z
Be1 Be 0.345 0.845 0.000
Be2 Be 0.845 0.655 0.000
Be3 Be 0.655 0.155 0.000
Be4 Be 0.155 0.345 0.000
Ca1 Ca 0.000 0.000 0.000
Ca2 Ca 0.500 0.500 0.000
Os1 Os 0.135 0.635 0.500
Os2 Os 0.635 0.865 0.500
Os3 Os 0.865 0.365 0.500
Os4 Os 0.365 0.135 0.500
```